# 1
GGA-PBEsol MoIrRu2, relaxed; energy relative to the elements = -0.010 eV/atom; density = 14.56 g/cm3; space-group type = Pmmm, No. 47; total DFT energy (no corrections) = -10.494 eV/atom
1.0
-0.733 2.078 1.548
-0.614 -2.386 2.911
5.167 0.628 1.604
Ir Ru Mo
1 2 1
direct
0.500 0.500 0.000 Ir
0.000 0.000 0.755 Ru
0.000 0.000 0.245 Ru
0.500 0.500 0.500 Mo


# 2
GGA-PBEsol K2NaBiCl6, relaxed; density = 2.84 g/cm3; space-group type = Fm-3m, No. 225; total DFT energy (no corrections) = -3.505 eV/atom
1.0
-0.668 7.187 2.245
-4.918 4.594 -3.443
-6.234 2.263 3.627
Cl K Na Bi
6 2 1 1
direct
0.750 0.250 0.250 Cl
0.750 0.250 0.750 Cl
0.250 0.750 0.250 Cl
0.250 0.250 0.750 Cl
0.750 0.750 0.250 Cl
0.250 0.750 0.750 Cl
0.250 0.250 0.250 K
0.750 0.750 0.750 K
0.500 0.500 0.500 Na
0.000 0.000 0.000 Bi